[1]
# NaCoNiS3

A geometry-optimized NaCoNiS3 structure (PBE-GGA, the Open Quantum Materials Database).

## Properties
Offset from the most stable computed form in eV per formula unit: 0.00
M_tot in μB/atom: 0.138

Structure (POSCAR):
```
NaCoNiS3
1.0
1.697 -6.442 0.000
1.697 6.442 0.000
0.000 0.000 9.121
Co Na Ni S
2 2 2 6
direct
0.500 0.500 0.000 Co
0.500 0.500 0.500 Co
0.257 0.743 0.250 Na
0.743 0.257 0.750 Na
0.966 0.034 0.250 Ni
0.034 0.966 0.750 Ni
0.884 0.116 0.044 S
0.572 0.428 0.250 S
0.884 0.116 0.456 S
0.116 0.884 0.544 S
0.428 0.572 0.750 S
0.116 0.884 0.956 S
```

[2]
# NaCoNiSe3

A geometry-optimized NaCoNiSe3 structure (PBE-GGA, the Open Quantum Materials Database).

## Properties
M_tot in μB/atom: 0.259
Calculated total energy in eV/f.u.: -26.8

Structure (POSCAR):
```
NaCoNiSe3
1.0
-6.808 -1.025 -2.922
0.357 -3.560 0.416
-0.383 1.030 9.138
Co Na Ni Se
2 2 2 6
direct
0.580 0.750 0.110 Co
0.420 0.250 0.890 Co
0.241 0.250 0.214 Na
0.759 0.750 0.786 Na
0.810 0.250 0.343 Ni
0.190 0.750 0.657 Ni
0.748 0.250 0.055 Se
0.595 0.750 0.364 Se
0.045 0.750 0.371 Se
0.955 0.250 0.629 Se
0.405 0.250 0.636 Se
0.252 0.750 0.945 Se
```

Q: Among the records above, which one has the highest M_tot?
A: NaCoNiSe3